1.
Below is a geometry-optimized Ba6Na2Mn2Nb2O17 structure, with properties calculated at the GGA-PBEsol level.

Geometry as POSCAR:
```
Ba6Na2Mn2Nb2O17
1.0
5.875 0.000 0.000
-2.938 5.088 0.000
0.000 0.000 29.998
Ba Na Mn Nb O
12 4 4 4 34
Direct
0.000 0.000 0.000
0.000 0.000 0.250
0.000 0.000 0.500
0.000 0.000 0.750
0.333 0.667 0.090
0.333 0.667 0.410
0.333 0.667 0.680
0.333 0.667 0.820
0.667 0.333 0.180
0.667 0.333 0.320
0.667 0.333 0.590
0.667 0.333 0.910
0.000 0.000 0.123
0.000 0.000 0.377
0.000 0.000 0.623
0.000 0.000 0.877
0.333 0.667 0.552
0.333 0.667 0.948
0.667 0.333 0.052
0.667 0.333 0.448
0.333 0.667 0.201
0.333 0.667 0.299
0.667 0.333 0.701
0.667 0.333 0.799
0.024 0.512 0.250
0.173 0.346 0.169
0.173 0.346 0.331
0.173 0.827 0.169
0.173 0.827 0.331
0.177 0.354 0.572
0.177 0.354 0.928
0.177 0.823 0.572
0.177 0.823 0.928
0.333 0.667 0.004
0.333 0.667 0.496
0.346 0.173 0.669
0.346 0.173 0.831
0.354 0.177 0.072
0.354 0.177 0.428
0.488 0.512 0.250
0.488 0.976 0.250
0.512 0.024 0.750
0.512 0.488 0.750
0.646 0.823 0.572
0.646 0.823 0.928
0.654 0.827 0.169
0.654 0.827 0.331
0.667 0.333 0.504
0.667 0.333 0.996
0.823 0.177 0.072
0.823 0.177 0.428
0.823 0.646 0.072
0.823 0.646 0.428
0.827 0.173 0.669
0.827 0.173 0.831
0.827 0.654 0.669
0.827 0.654 0.831
0.976 0.488 0.750
```

## Properties
ρ ... 5.3 g/cm³
Raw total energy ... -7.50 eV/atom
Space-group type ... P6_3/mmc
Formation energy (no corrections) ... -2.467 eV per atom

=====

2.
Below is a geometry-optimized Y2CrRh structure, with properties calculated at the GGA-PBEsol level.

Geometry as POSCAR:
```
Y2CrRh
1.0
3.454 0.000 0.000
0.000 3.454 0.000
0.000 0.000 6.764
Y Cr Rh
2 1 1
Direct
0.000 0.000 0.239
0.000 0.000 0.761
0.500 0.500 0.500
0.500 0.500 0.000
```

## Properties
ρ ... 6.8 g/cm³
Energy of formation from the pure elements ... -0.123 eV/atom
Raw total energy ... -8.13 eV/atom
ΔE to the lowest computed polymorph ... 0 meV per atom
Space-group type ... P4/mmm

=====

3.
Below is a geometry-optimized Cr11NiS16 structure, with properties calculated at the GGA-PBEsol level.

Geometry as POSCAR:
```
Cr11NiS16
1.0
5.914 -1.625 0.000
5.914 1.625 0.000
-1.985 0.000 20.441
Cr Ni S
11 1 16
Direct
0.000 0.000 0.000
0.070 0.070 0.330
0.179 0.179 0.921
0.249 0.249 0.250
0.317 0.317 0.576
0.431 0.431 0.171
0.569 0.569 0.829
0.683 0.683 0.424
0.751 0.751 0.750
0.821 0.821 0.079
0.930 0.930 0.670
0.500 0.500 0.500
0.005 0.005 0.113
0.104 0.104 0.745
0.144 0.144 0.504
0.247 0.247 0.137
0.256 0.256 0.363
0.354 0.354 0.995
0.395 0.395 0.755
0.497 0.497 0.389
0.503 0.503 0.611
0.605 0.605 0.245
0.646 0.646 0.005
0.744 0.744 0.637
0.753 0.753 0.863
0.856 0.856 0.496
0.896 0.896 0.255
0.995 0.995 0.887
```

## Properties
ρ ... 4.8 g/cm³
Raw total energy ... -7.46 eV/atom
Space-group type ... C2/m
Formation energy (no corrections) ... -0.707 eV per atom

=====

4.
Below is a geometry-optimized YNbCu2O structure, with properties calculated at the GGA-PBEsol level.

Geometry as POSCAR:
```
YNbCu2O
1.0
4.479 0.000 0.000
0.000 4.479 0.000
0.000 0.000 5.668
Y Nb Cu O
1 1 2 1
Direct
0.000 0.000 0.000
0.000 0.000 0.500
0.000 0.500 0.500
0.500 0.000 0.500
0.500 0.500 0.000
```

## Properties
ρ ... 4.7 g/cm³
Raw total energy ... -4.96 eV/atom
Space-group type ... P4/mmm
Formation energy (no corrections) ... 1.350 eV per atom

=====

5.
Below is a geometry-optimized LaNb3Re structure, with properties calculated at the GGA-PBEsol level.

Geometry as POSCAR:
```
LaNb3Re
1.0
4.740 0.000 0.000
0.000 4.740 0.000
0.000 0.000 4.740
La Nb Re
1 3 1
Direct
0.000 0.000 0.000
0.000 0.000 0.500
0.000 0.500 0.000
0.500 0.000 0.000
0.500 0.500 0.500
```

## Properties
ρ ... 9.4 g/cm³
Energy of formation from the pure elements ... 2.346 eV/atom
Raw total energy ... -7.88 eV/atom
Space-group type ... Pm-3m

=====

6.
Below is a geometry-optimized MgTc2Ge2 structure, with properties calculated at the GGA-PBEsol level.

Geometry as POSCAR:
```
MgTc2Ge2
1.0
7.110 0.000 0.000
0.000 7.110 0.000
0.000 0.000 3.024
Mg Tc Ge
2 4 4
Direct
0.000 0.000 0.000
0.500 0.500 0.000
0.141 0.359 0.000
0.359 0.859 0.000
0.641 0.141 0.000
0.859 0.641 0.000
0.153 0.653 0.500
0.347 0.153 0.500
0.653 0.847 0.500
0.847 0.347 0.500
```

## Properties
ρ ... 7.9 g/cm³
Energy of formation from the pure elements ... -0.085 eV/atom
Raw total energy ... -6.91 eV/atom
Space-group type ... P4/mbm